Entry 1:
{"formula": "Re2RuAu", "functional": "PBE", "state": "relaxed", "de_polymorph_mev_per_atom": 56.1, "spacegroup": "Pmm2", "delta_e_f_mev_per_atom": 269, "lattice_angstrom": [[2.767, 0.000, 0.000], [0.000, 3.947, 0.000], [0.000, 0.000, 5.629]], "species": ["Re", "Re", "Ru", "Au"], "frac_coords": [[0.500, 0.500, 0.252], [0.000, 0.000, 0.023], [0.000, 0.000, 0.478], [0.500, 0.500, 0.748]]}

=====

Entry 2:
{"formula": "Rb3Pm2ScSe6", "functional": "PBE", "state": "relaxed", "spacegroup": "C2/m", "formation_energy_uncorrected_ev_per_atom": -1.677, "lattice_angstrom": [[7.364, -0.001, -0.001], [-3.681, 6.378, -0.001], [-1.229, -2.129, 7.991]], "species": ["Sc", "Pm", "Rb", "Se", "Rb", "Se", "Se", "Rb", "Se", "Se", "Pm", "Se"], "frac_coords": [[0.000, 0.000, 0.000], [0.666, 0.334, 0.000], [0.170, 0.830, 0.500], [0.619, 0.935, 0.805], [0.830, 0.170, 0.500], [0.935, 0.619, 0.805], [0.381, 0.065, 0.195], [0.500, 0.500, 0.500], [0.065, 0.381, 0.195], [0.750, 0.750, 0.196], [0.334, 0.666, 0.000], [0.250, 0.250, 0.804]]}

=====

Entry 3:
{"formula": "SmHo2Ag2Sn2", "functional": "PBE", "state": "relaxed", "spacegroup": "R-3m", "delta_e_f_mev_per_atom": -426, "lattice_angstrom": [[4.870, 0.000, 0.000], [2.435, 4.217, 0.000], [2.435, 1.406, 8.634]], "species": ["Ag", "Ho", "Sm", "Sn", "Ho", "Ag", "Sn"], "frac_coords": [[0.439, 0.439, 0.683], [0.866, 0.866, 0.403], [0.000, 0.000, 0.000], [0.736, 0.736, 0.792], [0.134, 0.134, 0.597], [0.561, 0.561, 0.317], [0.264, 0.264, 0.208]]}

=====

Entry 4:
{"formula": "Hf8CuSn2", "functional": "PBE", "state": "relaxed", "spacegroup": "C2/m", "delta_e_f_mev_per_atom": -51, "lattice_angstrom": [[-4.508, -0.432, 1.089], [-0.065, -5.388, -2.403], [4.486, -0.763, 8.307]], "species": ["Sn", "Hf", "Hf", "Hf", "Hf", "Hf", "Sn", "Hf", "Cu", "Hf", "Hf"], "frac_coords": [[0.818, 0.222, 0.635], [0.645, 0.042, 0.290], [0.771, 0.661, 0.543], [0.586, 0.492, 0.172], [0.355, 0.958, 0.710], [0.022, 0.765, 0.044], [0.182, 0.778, 0.365], [0.978, 0.235, 0.956], [0.500, 0.000, 0.000], [0.229, 0.339, 0.457], [0.414, 0.508, 0.828]]}

=====

Entry 5:
{"formula": "Al2BiSb2", "functional": "PBE", "state": "relaxed", "de_polymorph_mev_per_atom": 39.8, "spacegroup": "P4/mbm", "formation_energy_uncorrected_ev_per_atom": 0.186, "lattice_angstrom": [[8.049, 0.000, 0.000], [0.000, 8.049, 0.000], [0.000, 0.000, 3.734]], "species": ["Al", "Sb", "Sb", "Bi", "Bi", "Al", "Sb", "Sb", "Al", "Al"], "frac_coords": [[0.630, 0.130, 0.000], [0.839, 0.339, 0.500], [0.161, 0.661, 0.500], [0.500, 0.500, 0.000], [0.000, 0.000, 0.000], [0.870, 0.630, 0.000], [0.661, 0.839, 0.500], [0.339, 0.161, 0.500], [0.370, 0.870, 0.000], [0.130, 0.370, 0.000]]}

=====

Entry 6:
{"formula": "DyErCdNi", "functional": "PBE", "state": "relaxed", "de_polymorph_mev_per_atom": 0.0, "spacegroup": "P4mm", "delta_e_f_mev_per_atom": -379, "lattice_angstrom": [[-3.300, -0.746, -0.583], [0.912, -1.936, -2.684], [0.564, -6.056, 4.559]], "species": ["Dy", "Cd", "Ni", "Er"], "frac_coords": [[0.500, 0.500, 0.783], [0.000, 0.000, 0.075], [0.000, 0.000, 0.567], [0.500, 0.500, 0.360]]}

=====

Entry 7:
{"formula": "Al2HgSb2", "functional": "PBE", "state": "relaxed", "de_polymorph_mev_per_atom": 0.0, "spacegroup": "I4/mmm", "formation_energy_uncorrected_ev_per_atom": 0.001, "lattice_angstrom": [[4.229, 0.000, 0.000], [0.000, 4.229, 0.000], [2.115, 2.115, 8.418]], "species": ["Sb", "Hg", "Al", "Sb", "Al"], "frac_coords": [[0.643, 0.643, 0.714], [0.000, 0.000, 0.000], [0.250, 0.750, 0.500], [0.357, 0.357, 0.286], [0.750, 0.250, 0.500]]}

=====

Entry 8:
{"formula": "SiIr2Rh", "functional": "PBE", "state": "relaxed", "spacegroup": "R-3m", "formation_energy_uncorrected_ev_per_atom": -0.233, "lattice_angstrom": [[8.413, -0.016, -0.009], [7.950, 2.752, -0.009], [7.950, 1.329, 2.409]], "species": ["Ir", "Ir", "Si", "Rh"], "frac_coords": [[0.509, 0.509, 0.509], [0.991, 0.991, 0.991], [0.250, 0.250, 0.250], [0.750, 0.750, 0.750]]}

=====

Entry 9:
{"formula": "Co2Se", "functional": "PBE", "state": "relaxed", "de_polymorph_mev_per_atom": 310.1, "spacegroup": "Cmcm", "formation_energy_uncorrected_ev_per_atom": 0.179, "lattice_angstrom": [[-3.143, 4.898, 1.325], [-0.291, -5.491, -2.321], [-0.746, -1.401, 3.408]], "species": ["Se", "Se", "Co", "Co", "Co", "Co"], "frac_coords": [[0.888, 0.112, 0.250], [0.112, 0.888, 0.750], [0.232, 0.768, 0.250], [0.574, 0.426, 0.250], [0.768, 0.232, 0.750], [0.426, 0.574, 0.750]]}

=====

Entry 10:
{"formula": "LiCa2PuO5", "functional": "PBE", "state": "relaxed", "spacegroup": "Cmc2_1", "formation_energy_uncorrected_ev_per_atom": -2.710, "lattice_angstrom": [[3.388, 0.000, 0.000], [-1.694, 6.644, 0.000], [0.000, 0.000, 10.892]], "species": ["O", "Ca", "Pu", "O", "Ca", "O", "O", "Ca", "O", "Li", "Ca", "O", "O", "Li", "O", "Pu", "O", "O"], "frac_coords": [[0.369, 0.738, 0.005], [0.076, 0.152, 0.666], [0.784, 0.568, 0.529], [0.935, 0.870, 0.532], [0.924, 0.848, 0.166], [0.732, 0.463, 0.161], [0.492, 0.985, 0.773], [0.124, 0.248, 0.320], [0.065, 0.130, 0.032], [0.546, 0.092, 0.935], [0.876, 0.752, 0.820], [0.709, 0.417, 0.903], [0.508, 0.015, 0.273], [0.454, 0.908, 0.435], [0.631, 0.262, 0.505], [0.216, 0.432, 0.029], [0.268, 0.537, 0.661], [0.291, 0.583, 0.403]]}

=====

Entry 11:
{"formula": "NdYHg5", "functional": "PBE", "state": "relaxed", "spacegroup": "Cmmm", "delta_e_f_mev_per_atom": -266, "lattice_angstrom": [[-3.295, -4.093, -0.761], [2.374, 0.660, -4.703], [5.059, -4.431, 1.933]], "species": ["Hg", "Hg", "Hg", "Y", "Hg", "Hg", "Nd"], "frac_coords": [[0.500, 0.000, 0.241], [0.000, 0.000, 0.500], [0.500, 0.000, 0.759], [0.500, 0.500, 0.500], [0.000, 0.500, 0.241], [0.000, 0.500, 0.759], [0.000, 0.000, 0.000]]}

=====

Entry 12:
{"formula": "Ca3CoH", "functional": "PBE", "state": "relaxed", "de_polymorph_mev_per_atom": 0.0, "spacegroup": "Pm-3m", "lattice_angstrom": [[4.758, 0.000, 0.000], [0.000, 4.758, 0.000], [0.000, 0.000, 4.758]], "species": ["Ca", "Ca", "Co", "H", "Ca"], "frac_coords": [[0.000, 0.500, 0.000], [0.000, 0.000, 0.500], [0.500, 0.500, 0.500], [0.000, 0.000, 0.000], [0.500, 0.000, 0.000]]}

=====

Entry 13:
{"formula": "Dy2HfSe", "functional": "PBE", "state": "relaxed", "spacegroup": "R-3m", "formation_energy_uncorrected_ev_per_atom": -0.273, "lattice_angstrom": [[-1.327, 2.707, -1.927], [-3.422, -0.057, -1.046], [-4.215, 5.538, 7.360]], "species": ["Hf", "Se", "Dy", "Dy"], "frac_coords": [[0.000, 0.000, 0.000], [0.500, 0.500, 0.500], [0.897, 0.897, 0.308], [0.103, 0.103, 0.692]]}

=====

Entry 14:
{"formula": "SrZn2Tc", "functional": "PBE", "state": "relaxed", "de_polymorph_mev_per_atom": 217.1, "spacegroup": "Cm", "delta_e_f_mev_per_atom": 411, "lattice_angstrom": [[4.748, -0.129, -0.198], [3.862, 2.765, -0.198], [1.284, 0.393, 6.107]], "species": ["Tc", "Zn", "Zn", "Sr"], "frac_coords": [[0.265, 0.265, 0.153], [0.002, 0.002, 0.031], [0.735, 0.735, 0.826], [0.497, 0.497, 0.490]]}

=====

Entry 15:
{"formula": "AcNd2HoTm5", "functional": "PBE", "state": "relaxed", "spacegroup": "I4/mcm", "delta_e_f_mev_per_atom": 262, "lattice_angstrom": [[-3.456, 5.084, -6.302], [6.262, -2.666, -5.585], [-5.904, -7.063, 3.690]], "species": ["Tm", "Ac", "Nd", "Tm", "Tm", "Nd", "Nd", "Ho", "Tm", "Tm", "Tm", "Ac", "Tm", "Nd", "Tm", "Ho", "Tm", "Tm"], "frac_coords": [[0.159, 0.074, 0.733], [0.250, 0.250, 0.500], [0.617, 0.117, 0.000], [0.426, 0.341, 0.267], [0.000, 0.000, 0.000], [0.883, 0.617, 0.000], [0.383, 0.883, 0.000], [0.750, 0.250, 0.500], [0.574, 0.659, 0.733], [0.659, 0.159, 0.733], [0.341, 0.841, 0.267], [0.750, 0.750, 0.500], [0.926, 0.426, 0.267], [0.117, 0.383, 0.000], [0.074, 0.574, 0.733], [0.250, 0.750, 0.500], [0.841, 0.926, 0.267], [0.500, 0.500, 0.000]]}

=====

Entry 16:
{"formula": "Na2SrCdBr6", "functional": "PBE", "state": "relaxed", "spacegroup": "P4mm", "formation_energy_uncorrected_ev_per_atom": -1.400, "lattice_angstrom": [[6.242, 0.000, 0.000], [0.000, 7.954, 0.000], [0.000, 0.000, 7.954]], "species": ["Br", "Cd", "Na", "Br", "Br", "Br", "Br", "Sr", "Na", "Br"], "frac_coords": [[0.748, 0.762, 0.238], [0.611, 0.000, 0.000], [0.925, 0.500, 0.000], [0.748, 0.762, 0.762], [0.159, 0.500, 0.500], [0.202, 0.000, 0.000], [0.748, 0.238, 0.762], [0.633, 0.500, 0.500], [0.925, 0.000, 0.500], [0.748, 0.238, 0.238]]}

=====

Entry 17:
{"formula": "Tl2GeH", "functional": "PBE", "state": "relaxed", "de_polymorph_mev_per_atom": 36.7, "spacegroup": "Fm-3m", "lattice_angstrom": [[0.000, 3.503, 3.503], [3.503, 0.000, 3.503], [3.503, 3.503, 0.000]], "species": ["Ge", "Tl", "Tl", "H"], "frac_coords": [[0.500, 0.500, 0.500], [0.750, 0.750, 0.750], [0.250, 0.250, 0.250], [0.000, 0.000, 0.000]]}

=====

Entry 18:
{"formula": "Y2AlAg", "functional": "PBE", "state": "relaxed", "spacegroup": "Pm", "delta_e_f_mev_per_atom": -344, "lattice_angstrom": [[4.654, 0.000, 0.000], [0.000, 3.703, 0.033], [0.000, 1.826, 5.770]], "species": ["Y", "Ag", "Al", "Y"], "frac_coords": [[0.000, 0.973, 0.927], [0.000, 0.696, 0.484], [0.500, 0.552, 0.770], [0.500, 0.279, 0.318]]}

=====

Entry 19:
{"formula": "NaBeCl3", "functional": "PBE", "state": "relaxed", "de_polymorph_mev_per_atom": 0.0, "spacegroup": "P-1", "formation_energy_uncorrected_ev_per_atom": -1.584, "lattice_angstrom": [[-6.064, -2.596, 2.038], [-0.455, -3.729, 5.868], [2.034, 5.156, 4.419]], "species": ["Cl", "Na", "Cl", "Cl", "Cl", "Cl", "Na", "Cl", "Be", "Be"], "frac_coords": [[0.104, 0.924, 0.078], [0.944, 0.008, 0.636], [0.854, 0.664, 0.590], [0.381, 0.980, 0.704], [0.920, 0.474, 0.082], [0.631, 0.240, 0.193], [0.542, 0.895, 0.147], [0.564, 0.431, 0.700], [0.813, 0.246, 0.030], [0.671, 0.659, 0.752]]}

=====

Entry 20:
{"formula": "Tb6Pm8Sm", "functional": "PBE", "state": "relaxed", "de_polymorph_mev_per_atom": 55.9, "spacegroup": "P-3", "delta_e_f_mev_per_atom": 179, "lattice_angstrom": [[-4.961, 4.066, 1.287], [-1.305, 1.351, -9.299], [-4.582, -7.004, 4.465]], "species": ["Tb", "Pm", "Pm", "Pm", "Pm", "Pm", "Tb", "Pm", "Tb", "Tb", "Pm", "Tb", "Tb", "Pm", "Sm"], "frac_coords": [[0.664, 0.441, 0.348], [0.831, 0.248, 0.964], [0.169, 0.752, 0.036], [0.125, 0.667, 0.333], [0.169, 0.284, 0.248], [0.169, 0.964, 0.716], [0.336, 0.093, 0.441], [0.831, 0.036, 0.284], [0.664, 0.907, 0.559], [0.664, 0.652, 0.093], [0.875, 0.333, 0.667], [0.336, 0.559, 0.652], [0.336, 0.348, 0.907], [0.831, 0.716, 0.752], [0.500, 0.000, 0.000]]}

=====

Entry 21:
{"formula": "LiTc2Pb", "functional": "PBE", "state": "relaxed", "spacegroup": "Cmmm", "delta_e_f_mev_per_atom": 629, "lattice_angstrom": [[5.062, -0.023, 0.000], [-2.466, 4.421, 0.000], [0.000, 0.000, 3.011]], "species": ["Tc", "Pb", "Li", "Tc"], "frac_coords": [[0.000, 0.000, 0.000], [0.000, 0.500, 0.500], [0.500, 0.000, 0.500], [0.500, 0.500, 0.000]]}

=====

Entry 22:
{"formula": "Tb3HfPd12", "functional": "PBE", "state": "relaxed", "spacegroup": "P4/mmm", "delta_e_f_mev_per_atom": -880, "lattice_angstrom": [[-1.440, -3.759, -0.780], [1.703, -1.372, 3.468], [-13.776, 3.582, 8.183]], "species": ["Hf", "Pd", "Pd", "Pd", "Pd", "Pd", "Pd", "Pd", "Pd", "Tb", "Pd", "Tb", "Pd", "Pd", "Pd", "Tb"], "frac_coords": [[0.000, 0.000, 0.000], [0.500, 0.500, 0.000], [0.500, 0.000, 0.117], [0.000, 0.500, 0.883], [0.500, 0.000, 0.627], [0.500, 0.500, 0.500], [0.500, 0.000, 0.883], [0.500, 0.000, 0.373], [0.500, 0.500, 0.245], [0.000, 0.000, 0.753], [0.500, 0.500, 0.755], [0.000, 0.000, 0.500], [0.000, 0.500, 0.373], [0.000, 0.500, 0.627], [0.000, 0.500, 0.117], [0.000, 0.000, 0.247]]}

=====

Entry 23:
{"formula": "Ac2NdBi3", "functional": "PBE", "state": "relaxed", "de_polymorph_mev_per_atom": 4.9, "spacegroup": "Immm", "delta_e_f_mev_per_atom": -970, "lattice_angstrom": [[-4.142, -2.356, 0.520], [2.975, -4.268, 4.360], [-1.194, 7.641, 3.010]], "species": ["Bi", "Bi", "Nd", "Ac", "Bi", "Ac"], "frac_coords": [[0.841, 0.341, 0.182], [0.159, 0.659, 0.818], [0.500, 0.500, 0.500], [0.832, 0.832, 0.164], [0.500, 0.000, 0.500], [0.168, 0.168, 0.836]]}

=====

Entry 24:
{"formula": "ZrPaBiSb", "functional": "PBE", "state": "relaxed", "spacegroup": "F-43m", "formation_energy_uncorrected_ev_per_atom": -0.348, "lattice_angstrom": [[5.225, 0.000, 0.000], [2.612, 4.525, 0.000], [2.612, 1.508, 4.266]], "species": ["Bi", "Sb", "Zr", "Pa"], "frac_coords": [[0.250, 0.250, 0.250], [0.750, 0.750, 0.750], [0.000, 0.000, 0.000], [0.500, 0.500, 0.500]]}

=====

Entry 25:
{"formula": "CsGe2Au5", "functional": "PBE", "state": "relaxed", "spacegroup": "C2/m", "delta_e_f_mev_per_atom": -71, "lattice_angstrom": [[4.633, -0.005, 1.105], [1.875, 6.242, 2.337], [0.792, 0.637, 6.849]], "species": ["Au", "Cs", "Au", "Ge", "Au", "Au", "Ge", "Au"], "frac_coords": [[0.654, 0.157, 0.537], [0.000, 0.000, 0.000], [0.654, 0.537, 0.157], [0.764, 0.735, 0.735], [0.346, 0.463, 0.843], [0.346, 0.843, 0.463], [0.236, 0.265, 0.265], [0.000, 0.500, 0.500]]}